Entry 1:
Density functional theory data (PBE) for a geometry-optimized TbCuS2 structure.

Calculated values
E_form (uncorrected), meV/atom: -1384
Symmetry: No. 14

Unit cell a=6.379 b=7.034 c=6.771 alpha=90.00 beta=97.24 gamma=90.00
Fractional positions:
Tb  0.193  0.048  0.300
Tb  0.193  0.452  0.800
Tb  0.807  0.548  0.200
Tb  0.807  0.952  0.700
Cu  0.420  0.662  0.451
Cu  0.420  0.838  0.951
Cu  0.580  0.162  0.049
Cu  0.580  0.338  0.549
S  0.075  0.727  0.498
S  0.075  0.773  0.998
S  0.408  0.114  0.719
S  0.408  0.386  0.219
S  0.592  0.614  0.781
S  0.592  0.886  0.281
S  0.925  0.227  0.002
S  0.925  0.273  0.502

Entry 2:
Density functional theory data (PBE) for a geometry-optimized TbCuS2 structure.

Calculated values
E_form (uncorrected), meV/atom: -1311
Symmetry: No. 166

Unit cell a=4.131 b=4.131 c=21.201 alpha=90.00 beta=90.00 gamma=120.00
Fractional positions:
Tb  0.000  0.000  0.000
Tb  0.333  0.667  0.667
Tb  0.667  0.333  0.333
Cu  0.000  0.000  0.500
Cu  0.333  0.667  0.167
Cu  0.667  0.333  0.833
S  0.000  0.000  0.399
S  0.000  0.000  0.601
S  0.333  0.667  0.066
S  0.333  0.667  0.267
S  0.667  0.333  0.733
S  0.667  0.333  0.934

What did the first record say?
Density functional theory data (PBE) for a geometry-optimized TbCuS2 structure.

Calculated values
E_form (uncorrected), meV/atom: -1384
Symmetry: No. 14

Unit cell a=6.379 b=7.034 c=6.771 alpha=90.00 beta=97.24 gamma=90.00
Fractional positions:
Tb  0.193  0.048  0.300
Tb  0.193  0.452  0.800
Tb  0.807  0.548  0.200
Tb  0.807  0.952  0.700
Cu  0.420  0.662  0.451
Cu  0.420  0.838  0.951
Cu  0.580  0.162  0.049
Cu  0.580  0.338  0.549
S  0.075  0.727  0.498
S  0.075  0.773  0.998
S  0.408  0.114  0.719
S  0.408  0.386  0.219
S  0.592  0.614  0.781
S  0.592  0.886  0.281
S  0.925  0.227  0.002
S  0.925  0.273  0.502